No. 1
A plane-wave DFT calculation with PBE was carried out for crystalline PmPuTlRu at its relaxed geometry.

N(E_F) in states/eV/f.u.: 9.60
Size of the total moment in μB per cell: 20.49
Formation energy in kJ/mol of formula units: 7
ΔE to the lowest computed polymorph in meV/atom: 207.2

abc: 7.294 7.294 7.294
angles: 90.00 90.00 90.00
Space group F-43m (No. 216)
Inequivalent atoms, fractional coordinates:
Pm: 0.000 0.000 0.000 x4
Pu: 0.000 0.000 0.500 x4
Tl: 0.250 0.250 0.750 x4
Ru: 0.250 0.250 0.250 x4

No. 2
A plane-wave DFT calculation with PBE was carried out for crystalline MgZr2C at its relaxed geometry.

N(E_F) in states/eV/f.u.: 2.90
Size of the total moment in μB per cell: 0.00
Formation energy in kJ/mol of formula units: -171

abc: 5.791 3.338 8.162
angles: 90.00 102.73 90.00
Space group Cm (No. 8)
Inequivalent atoms, fractional coordinates:
Mg: 0.000 0.000 0.000 x2
Zr: 0.214 0.000 0.657 x2
Zr: 0.450 0.000 0.344 x2
C: 0.332 0.500 0.499 x2

No. 3
A plane-wave DFT calculation with PBE was carried out for crystalline In2GeOs at its relaxed geometry.

N(E_F) in states/eV/f.u.: 1.00
Size of the total moment in μB per cell: 0.00
Formation energy in kJ/mol of formula units: 33

abc: 3.907 3.907 10.418
angles: 90.00 90.00 90.00
Space group P4/nmm (No. 129, origin choice 2)
Inequivalent atoms, fractional coordinates:
In: 0.250 0.250 0.071 x2
In: 0.250 0.250 0.754 x2
Ge: 0.250 0.750 0.500 x2
Os: 0.250 0.250 0.344 x2

No. 4
A plane-wave DFT calculation with PBE was carried out for crystalline Na3Hf2NiTe6 at its relaxed geometry.

N(E_F) in states/eV/f.u.: 5.77
Size of the total moment in μB per cell: 2.15
Calculated total energy in eV for the cell shown: -113.40

abc: 7.178 12.429 7.888
angles: 90.00 107.77 90.00
Space group C2/m (No. 12)
Inequivalent atoms, fractional coordinates:
Na: 0.000 0.000 0.000 x2
Na: 0.000 0.327 0.000 x4
Hf: 0.000 0.165 0.500 x4
Ni: 0.000 0.500 0.500 x2
Te: 0.230 0.339 0.710 x8
Te: 0.250 0.000 0.714 x4

No. 5
A plane-wave DFT calculation with PBE was carried out for crystalline RbSi2Ag2 at its relaxed geometry.

N(E_F) in states/eV/f.u.: 1.90
Size of the total moment in μB per cell: 0.00
ΔE to the lowest computed polymorph in meV/atom: 190.8

abc: 8.656 8.656 2.845
angles: 90.00 90.00 90.00
Space group P4/mbm (No. 127)
Inequivalent atoms, fractional coordinates:
Rb: 0.000 0.000 0.000 x2
Si: 0.138 0.362 0.000 x4
Ag: 0.143 0.643 0.500 x4

No. 6
A plane-wave DFT calculation with PBE was carried out for crystalline HfAg at its relaxed geometry.

N(E_F) in states/eV/f.u.: 4.14
Size of the total moment in μB per cell: 0.01
Formation energy in kJ/mol of formula units: 274

abc: 7.558 7.558 7.558
angles: 90.00 90.00 90.00
Space group Pm-3n (No. 223)
Inequivalent atoms, fractional coordinates:
Hf: 0.000 0.250 0.500 x6
Ag: 0.000 0.500 0.250 x6